# 1
ErSc5In3: relaxed, PBE.

```
18
Lattice="8.822 0.000 0.000 -4.411 7.640 0.000 0.000 0.000 6.365" Properties=species:S:1:pos:R:3 pbc="T T T"
Er 0.000 0.000 0.000
Er 0.000 0.000 3.183
Sc -1.483 2.569 1.591
Sc -2.928 5.071 4.774
Sc 0.000 5.093 0.000
Sc 0.000 5.093 3.183
Sc 2.966 0.000 1.591
Sc 1.483 2.569 4.774
Sc 5.856 0.000 4.774
Sc 2.928 5.071 1.591
Sc 4.411 2.547 0.000
Sc 4.411 2.547 3.183
In -1.479 2.561 4.774
In -2.932 5.079 1.591
In 2.958 0.000 4.774
In 1.479 2.561 1.591
In 5.864 0.000 1.591
In 2.932 5.079 4.774
```

Computed properties:
Space group: No. 193
Calculated formation energy (eV per atom): -0.369
Calculated total energy (eV per atom): -5.3060


# 2
Y3SbO3: relaxed, PBE.

```
14
Lattice="3.339 1.928 7.379 -3.339 1.928 7.379 0.000 -3.855 7.379" Properties=species:S:1:pos:R:3 pbc="T T T"
Y -1.193 -2.023 8.809
Y -2.349 0.022 13.327
Y -1.156 2.045 8.809
Y 1.156 -2.045 13.327
Y 2.349 -0.022 8.809
Y 1.193 2.023 13.327
Sb 0.000 0.000 3.690
Sb 0.000 0.000 18.445
O -2.100 0.045 8.265
O -1.089 -1.796 13.870
O 1.011 -1.841 8.265
O -1.011 1.841 13.870
O 1.089 1.796 8.265
O 2.100 -0.045 13.870
```

Computed properties:
Space group: No. 148
Raw formation energy (eV/atom): -2.7223
Calculated total energy (eV per atom): -8.2065


# 3
Li3Y4Ti4S4O10: relaxed, PBE.

```
25
Lattice="2.811 -10.973 0.000 2.811 10.973 0.000 -0.004 0.000 5.621" Properties=species:S:1:pos:R:3 pbc="T T T"
Li 0.000 0.000 0.000
Li -0.002 0.000 2.810
Li 2.811 0.000 0.000
Y 1.396 3.581 4.222
Y 1.396 -3.581 4.222
Y 4.220 3.581 1.398
Y 4.220 -3.581 1.398
Ti 1.424 1.954 1.426
Ti 1.424 -1.954 1.426
Ti 4.193 1.954 4.195
Ti 4.193 -1.954 4.195
S 1.382 4.502 1.394
S 1.382 -4.502 1.394
S 4.235 4.502 4.227
S 4.235 -4.502 4.227
O 2.808 8.911 2.810
O 2.811 8.882 0.000
O 1.361 0.000 1.361
O 2.808 2.211 2.810
O 2.811 2.067 0.000
O 2.811 -2.067 0.000
O 2.808 -2.211 2.810
O 4.256 0.000 4.260
O 2.811 -8.882 0.000
O 2.808 -8.911 2.810
```

Computed properties:
Space group: No. 12
Raw formation energy (eV/atom): -2.6303
Calculated total energy (eV per atom): -7.8011


# 4
BeMoPd: relaxed, PBE.

```
6
Lattice="6.667 -1.345 0.000 6.667 1.345 0.000 -1.426 0.000 4.496" Properties=species:S:1:pos:R:3 pbc="T T T"
Be 0.000 0.000 0.000
Be 1.690 0.000 2.548
Mo 8.834 0.000 0.334
Mo 10.600 0.000 2.097
Pd 3.240 0.000 4.332
Pd 6.418 0.000 2.069
```

Computed properties:
Energy relative to the lowest polymorph listed for this composition (meV per atom): 180
Space group: No. 8
Calculated formation energy (eV per atom): -0.060
Calculated total energy (eV per atom): -6.6435


# 5
Nb2Ag2Hg: relaxed, PBE.

```
5
Lattice="-1.848 1.848 7.638 1.848 -1.848 7.638 1.848 1.848 -7.638" Properties=species:S:1:pos:R:3 pbc="T T T"
Nb 1.848 0.000 3.819
Nb 0.000 1.848 3.819
Ag 0.000 0.000 1.477
Ag 0.000 0.000 13.800
Hg 0.000 0.000 7.638
```

Computed properties:
Energy relative to the lowest polymorph listed for this composition (meV per atom): 0
Space group: No. 139
Calculated formation energy (eV per atom): 0.512
Calculated total energy (eV per atom): -4.7169


# 6
Hf2Se2S: relaxed, PBE.

```
10
Lattice="7.235 0.000 0.000 0.000 7.235 0.000 0.000 0.000 3.645" Properties=species:S:1:pos:R:3 pbc="T T T"
Hf 1.101 2.517 0.000
Hf 2.517 6.134 0.000
Hf 4.719 1.101 0.000
Hf 6.134 4.719 0.000
Se 1.029 4.647 1.823
Se 2.588 1.029 1.823
Se 4.647 6.206 1.823
Se 6.206 2.588 1.823
S 0.000 0.000 0.000
S 3.618 3.618 0.000
```

Computed properties:
Energy relative to the lowest polymorph listed for this composition (meV per atom): 151
Space group: No. 127
Raw formation energy (eV/atom): -1.0792
Calculated total energy (eV per atom): -7.2799


# 7
ScZnSe3: relaxed, PBE.

```
5
Lattice="5.162 0.000 0.000 0.000 5.162 0.000 0.000 0.000 5.162" Properties=species:S:1:pos:R:3 pbc="T T T"
Sc 0.000 0.000 0.000
Zn 2.581 2.581 2.581
Se 0.000 0.000 2.581
Se 0.000 2.581 0.000
Se 2.581 0.000 0.000
```

Computed properties:
Energy relative to the lowest polymorph listed for this composition (meV per atom): 0
Space group: No. 221
Raw formation energy (eV/atom): -0.2657
Calculated total energy (eV per atom): -3.8775


# 8
CeIn2Ag: relaxed, PBE.

```
4
Lattice="3.475 0.000 0.000 0.000 3.475 0.000 0.000 0.000 7.970" Properties=species:S:1:pos:R:3 pbc="T T T"
Ce 0.000 0.000 0.000
In 1.737 1.737 2.263
In 1.737 1.737 5.707
Ag 0.000 0.000 3.985
```

Computed properties:
Space group: No. 123
Calculated formation energy (eV per atom): -0.206
Calculated total energy (eV per atom): -3.7711


# 9
AuSeBr2: relaxed, PBE.

```
4
Lattice="5.259 0.000 0.000 0.000 5.259 0.000 0.000 0.000 3.331" Properties=species:S:1:pos:R:3 pbc="T T T"
Au 0.000 0.000 0.000
Se 2.629 2.629 0.000
Br 0.000 2.629 1.666
Br 2.629 0.000 1.666
```

Computed properties:
Energy relative to the lowest polymorph listed for this composition (meV per atom): 662
Space group: No. 123
Raw formation energy (eV/atom): 0.6166
Calculated total energy (eV per atom): -1.9103